An optimized crystal structure of Tb3TlHg. Source: Alexandria via LeMat-Bulk, functional PBE.

Lattice parameters (Å, degrees): 6.437 8.985 10.258 90.00 90.00 90.00
Sites, in units of the cell vectors:
Tb (0.389, 0.321, 0.068)
Tb (0.611, 0.679, 0.932)
Tb (0.685, 0.862, 0.250)
Tb (0.111, 0.821, 0.568)
Tb (0.185, 0.638, 0.250)
Tl (0.679, 0.511, 0.250)
Tl (0.321, 0.489, 0.750)
Hg (0.500, 0.000, 0.500)
Tl (0.179, 0.989, 0.250)
Hg (0.500, 0.000, 0.000)
Tb (0.315, 0.138, 0.750)
Tb (0.389, 0.321, 0.432)
Tb (0.815, 0.362, 0.750)
Hg (0.000, 0.500, 0.500)
Hg (0.000, 0.500, 0.000)
Tb (0.889, 0.179, 0.068)
Tb (0.611, 0.679, 0.568)
Tb (0.111, 0.821, 0.932)
Tl (0.821, 0.011, 0.750)
Tb (0.889, 0.179, 0.432)

Results
Energy of formation from the pure elements: -0.1769 eV/atom
Magnetization: 0.000 μB/atom
Calculated density: 9.87 Mg/m³
Space-group type: No. 62
E above lowest polymorph: 138 meV per atom